# 1
Below is a relaxed SrMgZn2 crystal, with properties calculated at the PBE-GGA level.

Calculated values
The total DFT energy (no corrections) is -1.62 eV/atom. The value obtained for the formation energy is -0.16 eV per atom. The density of states at the Fermi level is 3.76 states/eV/cell. For the spin magnetization, the calculation gives 0.0 μB per cell.

```
data_SrMgZn2
_chemical_formula_sum 'Sr2 Mg2 Zn4'
_symmetry_space_group_name_H-M 'C 1 2/m 1'
_symmetry_Int_Tables_number 12
_cell_length_a 8.049
_cell_length_b 4.655
_cell_length_c 6.123
_cell_angle_alpha 90.00
_cell_angle_beta 115.84
_cell_angle_gamma 90.00
loop_
_symmetry_equiv_pos_as_xyz
'x,y,z'
'-x,-y,-z'
'-x,y,-z'
'x,-y,z'
'x+1/2,y+1/2,z'
'-x+1/2,-y+1/2,-z'
'-x+1/2,y+1/2,-z'
'x+1/2,-y+1/2,z'
loop_
_atom_site_label
_atom_site_fract_x
_atom_site_fract_y
_atom_site_fract_z
_atom_site_occupancy
Sr1 0.000 0.000 0.000 1
Mg1 0.000 0.500 0.500 1
Zn1 0.197 0.000 0.593 1
```

# 2
Below is a relaxed SrMg3Zn crystal, with properties calculated at the PBE-GGA level.

Calculated values
The total DFT energy (no corrections) is -0.55 eV/atom. The value obtained for the formation energy is 1.00 eV per atom. The density of states at the Fermi level is 5.44 states/eV/cell. As for the energy relative to the lowest polymorph listed for this composition: 5.45 eV per formula unit. For the spin magnetization, the calculation gives 0.0 μB per cell.

```
data_SrMg3Zn
_chemical_formula_sum 'Sr1 Mg3 Zn1'
_symmetry_space_group_name_H-M 'P m -3 m'
_symmetry_Int_Tables_number 221
_symmetry_space_group_name_Hall '-P 4 2 3'
_cell_length_a 6.853
_cell_length_b 6.853
_cell_length_c 6.853
_cell_angle_alpha 90.00
_cell_angle_beta 90.00
_cell_angle_gamma 90.00
loop_
_atom_site_label
_atom_site_fract_x
_atom_site_fract_y
_atom_site_fract_z
_atom_site_occupancy
Sr1 0.000 0.000 0.000 1
Mg1 0.000 0.000 0.500 1
Zn1 0.500 0.500 0.500 1
```

# 3
Below is a relaxed SrMgZn2 crystal, with properties calculated at the PBE-GGA level.

Calculated values
The total DFT energy (no corrections) is -1.48 eV/atom. The value obtained for the formation energy is -0.02 eV per atom. The density of states at the Fermi level is 3.05 states/eV/cell. For the spin magnetization, the calculation gives 0.0 μB per cell.

```
data_SrMgZn2
_chemical_formula_sum 'Sr1 Mg1 Zn2'
_symmetry_space_group_name_H-M 'P 4 m m'
_symmetry_Int_Tables_number 99
_cell_length_a 3.615
_cell_length_b 3.615
_cell_length_c 7.525
_cell_angle_alpha 90.00
_cell_angle_beta 90.00
_cell_angle_gamma 90.00
loop_
_symmetry_equiv_pos_as_xyz
'x,y,z'
'-y,x,z'
'-x,-y,z'
'y,-x,z'
'-x,y,z'
'y,x,z'
'x,-y,z'
'-y,-x,z'
loop_
_atom_site_label
_atom_site_fract_x
_atom_site_fract_y
_atom_site_fract_z
_atom_site_occupancy
Sr1 0.000 0.000 0.000 1
Mg1 0.500 0.500 0.653 1
Zn1 0.000 0.000 0.450 1
Zn2 0.500 0.500 0.277 1
```

# 4
Below is a relaxed SrMg10Zn2 crystal, with properties calculated at the PBE-GGA level.

Calculated values
The total DFT energy (no corrections) is -1.62 eV/atom. The value obtained for the formation energy is -0.07 eV per atom. The density of states at the Fermi level is 19.89 states/eV/cell. For the spin magnetization, the calculation gives 0.0 μB per cell.

```
data_SrMg10Zn2
_chemical_formula_sum 'Sr4 Mg40 Zn8'
_symmetry_space_group_name_H-M 'F m m m'
_symmetry_Int_Tables_number 69
_symmetry_space_group_name_Hall '-F 2 2'
_cell_length_a 5.853
_cell_length_b 14.318
_cell_length_c 14.420
_cell_angle_alpha 90.00
_cell_angle_beta 90.00
_cell_angle_gamma 90.00
loop_
_atom_site_label
_atom_site_fract_x
_atom_site_fract_y
_atom_site_fract_z
_atom_site_occupancy
Sr1 0.000 0.000 0.000 1
Mg1 0.000 0.105 0.385 1
Mg2 0.000 0.169 0.181 1
Mg3 0.250 0.250 0.000 1
Zn1 0.250 0.000 0.250 1
```

# 5
Below is a relaxed SrMgZn3 crystal, with properties calculated at the PBE-GGA level.

Calculated values
The total DFT energy (no corrections) is -1.60 eV/atom. The value obtained for the formation energy is -0.18 eV per atom. The density of states at the Fermi level is 6.78 states/eV/cell. As for the energy relative to the lowest polymorph listed for this composition: 0.00 eV per formula unit. For the spin magnetization, the calculation gives 0.0 μB per cell.

```
data_SrMgZn3
_chemical_formula_sum 'Sr2 Mg2 Zn6'
_symmetry_space_group_name_H-M 'P 42/m m c'
_symmetry_Int_Tables_number 131
_symmetry_space_group_name_Hall '-P 4c 2'
_cell_length_a 4.340
_cell_length_b 4.340
_cell_length_c 11.917
_cell_angle_alpha 90.00
_cell_angle_beta 90.00
_cell_angle_gamma 90.00
loop_
_atom_site_label
_atom_site_fract_x
_atom_site_fract_y
_atom_site_fract_z
_atom_site_occupancy
Sr1 0.000 0.000 0.250 1
Mg1 0.000 0.500 0.000 1
Zn1 0.000 0.500 0.500 1
Zn2 0.500 0.500 0.140 1
```

# 6
Below is a relaxed SrMg2Zn crystal, with properties calculated at the PBE-GGA level.

Calculated values
The total DFT energy (no corrections) is -1.65 eV/atom. The value obtained for the formation energy is -0.11 eV per atom. The density of states at the Fermi level is 5.59 states/eV/cell. For the spin magnetization, the calculation gives 0.0 μB per cell.

```
data_SrMg2Zn
_chemical_formula_sum 'Sr2 Mg4 Zn2'
_symmetry_space_group_name_H-M 'P 4/n m m'
_symmetry_Int_Tables_number 129
_cell_length_a 4.372
_cell_length_b 4.372
_cell_length_c 11.460
_cell_angle_alpha 90.00
_cell_angle_beta 90.00
_cell_angle_gamma 90.00
loop_
_symmetry_equiv_pos_as_xyz
'x,y,z'
'-x,-y,-z'
'-y+1/2,x,z'
'y+1/2,-x,-z'
'-x+1/2,-y+1/2,z'
'x+1/2,y+1/2,-z'
'y,-x+1/2,z'
'-y,x+1/2,-z'
'x+1/2,-y,-z'
'-x+1/2,y,z'
'-y,-x,-z'
'y,x,z'
'-x,y+1/2,-z'
'x,-y+1/2,z'
'y+1/2,x+1/2,-z'
'-y+1/2,-x+1/2,z'
loop_
_atom_site_label
_atom_site_fract_x
_atom_site_fract_y
_atom_site_fract_z
_atom_site_occupancy
Sr1 0.250 0.250 0.240 1
Mg1 0.250 0.250 0.928 1
Mg2 0.250 0.750 0.500 1
Zn1 0.250 0.250 0.666 1
```

# 7
Below is a relaxed Sr6Mg3Zn crystal, with properties calculated at the PBE-GGA level.

Calculated values
The total DFT energy (no corrections) is -1.66 eV/atom. The value obtained for the formation energy is -0.04 eV per atom. The density of states at the Fermi level is 18.80 states/eV/cell. For the spin magnetization, the calculation gives 0.0 μB per cell.

```
data_Sr6Mg3Zn
_chemical_formula_sum 'Sr12 Mg6 Zn2'
_symmetry_space_group_name_H-M 'P 1 21/m 1'
_symmetry_Int_Tables_number 11
_cell_length_a 10.133
_cell_length_b 5.988
_cell_length_c 13.678
_cell_angle_alpha 90.00
_cell_angle_beta 111.29
_cell_angle_gamma 90.00
loop_
_symmetry_equiv_pos_as_xyz
'x,y,z'
'-x,-y,-z'
'-x,y+1/2,-z'
'x,-y+1/2,z'
loop_
_atom_site_label
_atom_site_fract_x
_atom_site_fract_y
_atom_site_fract_z
_atom_site_occupancy
Sr1 0.014 0.250 0.148 1
Sr2 0.026 0.750 0.348 1
Sr3 0.262 0.250 0.504 1
Sr4 0.274 0.750 0.149 1
Sr5 0.409 0.750 0.913 1
Sr6 0.483 0.250 0.334 1
Mg1 0.159 0.750 0.643 1
Mg2 0.203 0.250 0.956 1
Mg3 0.345 0.250 0.776 1
Zn1 0.374 0.750 0.407 1
```

# 8
Below is a relaxed Sr6MgZn crystal, with properties calculated at the PBE-GGA level.

Calculated values
The total DFT energy (no corrections) is -1.67 eV/atom. The value obtained for the formation energy is -0.05 eV per atom. The density of states at the Fermi level is 15.43 states/eV/cell. For the spin magnetization, the calculation gives 0.0 μB per cell.

```
data_Sr6MgZn
_chemical_formula_sum 'Sr12 Mg2 Zn2'
_symmetry_space_group_name_H-M 'I 4/m m m'
_symmetry_Int_Tables_number 139
_symmetry_space_group_name_Hall '-I 4 2'
_cell_length_a 5.835
_cell_length_b 5.835
_cell_length_c 20.624
_cell_angle_alpha 90.00
_cell_angle_beta 90.00
_cell_angle_gamma 90.00
loop_
_atom_site_label
_atom_site_fract_x
_atom_site_fract_y
_atom_site_fract_z
_atom_site_occupancy
Sr1 0.000 0.000 0.248 1
Sr2 0.000 0.500 0.095 1
Mg1 0.000 0.000 0.000 1
Zn1 0.000 0.000 0.500 1
```